No. 1
Below is crystalline ScAl4 at its relaxed geometry, with properties calculated at the GGA-PBE level.

Calculated values
Energy above the lowest structure with this stoichiometry = 0.0 meV per atom
Symmetry = I4/mmm, No. 139
E_form = -100.1 meV/atom
M_tot = 0.00 μB/f.u.

Cell lengths 6.5589, 6.5589, 6.5589 Å; angles 144.42, 144.42, 51.19 degrees
With the nearest neighbours (Å) after each atom.
Positions (direct):
Al: 0.6035 0.6035 0.0000  5 Al 2.45-2.65
Al: 0.3965 0.3965 0.0000  5 Al 2.45-2.65
Al: 0.7500 0.2500 0.5000  8 Al 2.65-2.83
Al: 0.2500 0.7500 0.5000  8 Al 2.65-2.83
Sc: 0.0000 0.0000 0.0000  8 Al 3.09

No. 2
Below is crystalline ScAl2 at its relaxed geometry, with properties calculated at the GGA-PBE level.

Calculated values
Symmetry = P4/nmm, No. 129
E_form = -360.1 meV/atom
M_tot = 0.00 μB/f.u.

Cell lengths 4.0095, 4.0095, 7.1052 Å; angles 90.00, 90.00, 90.00 degrees
With the nearest neighbours (Å) after each atom.
Positions (direct):
Sc: 0.5000 0.0000 0.6644  9 Al 2.86-3.12
Sc: 0.0000 0.5000 0.3356  9 Al 2.86-3.12
Al: 0.5000 0.5000 0.0000  8 Al 2.73-2.84
Al: 0.0000 0.5000 0.7388  4 Al 2.73, 5 Sc 2.86-2.88
Al: 0.5000 0.0000 0.2612  4 Al 2.73, 5 Sc 2.86-2.88
Al: 0.0000 0.0000 0.0000  8 Al 2.73-2.84

No. 3
Below is crystalline ScAl6 at its relaxed geometry, with properties calculated at the GGA-PBE level.

Calculated values
Symmetry = Im-3m, No. 229
E_form = 690.6 meV/atom
M_tot = 0.00 μB/f.u.

Cell lengths 6.1848, 6.1848, 6.1848 Å; angles 109.47, 109.47, 109.47 degrees
With the nearest neighbours (Å) after each atom.
Positions (direct):
Al: 0.7500 0.2500 0.5000  4 Al 2.52
Al: 0.2500 0.5000 0.7500  4 Al 2.52
Al: 0.7500 0.5000 0.2500  4 Al 2.52
Al: 0.5000 0.7500 0.2500  4 Al 2.52
Al: 0.2500 0.7500 0.5000  4 Al 2.52
Al: 0.5000 0.2500 0.7500  4 Al 2.52
Sc: 0.0000 0.0000 0.0000  24 Al 3.99

No. 4
Below is crystalline ScAl2 at its relaxed geometry, with properties calculated at the GGA-PBE level.

Calculated values
Symmetry = Pnma, No. 62
E_form = -373.8 meV/atom
M_tot = 0.00 μB/f.u.

Cell lengths 4.1156, 5.8813, 9.1334 Å; angles 90.00, 90.00, 90.00 degrees
With the nearest neighbours (Å) after each atom.
Positions (direct):
Al: 0.2500 0.6218 0.0792  7 Al 2.89-3.05, 5 Sc 2.93-3.02
Al: 0.2500 0.1281 0.7549  5 Sc 2.87-3.15, 7 Al 2.94-3.05
Al: 0.7500 0.3782 0.9208  7 Al 2.89-3.05, 5 Sc 2.93-3.02
Al: 0.7500 0.8782 0.5792  7 Al 2.89-3.05, 5 Sc 2.93-3.02
Al: 0.7500 0.3719 0.2549  5 Sc 2.87-3.15, 7 Al 2.94-3.05
Al: 0.2500 0.6281 0.7451  5 Sc 2.87-3.15, 7 Al 2.94-3.05
Al: 0.2500 0.1218 0.4208  7 Al 2.89-3.05, 5 Sc 2.93-3.02
Al: 0.7500 0.8719 0.2451  5 Sc 2.87-3.15, 7 Al 2.94-3.05
Sc: 0.7500 0.3752 0.5993  10 Al 2.87-3.15, 2 Sc 3.11
Sc: 0.7500 0.8752 0.9007  10 Al 2.87-3.15, 2 Sc 3.11
Sc: 0.2500 0.6248 0.4007  10 Al 2.87-3.15, 2 Sc 3.11
Sc: 0.2500 0.1248 0.0993  10 Al 2.87-3.15, 2 Sc 3.11

No. 5
Below is crystalline Sc3Al4 at its relaxed geometry, with properties calculated at the GGA-PBE level.

Calculated values
Energy above the lowest structure with this stoichiometry = 0.0 meV per atom
Symmetry = P6/mmm, No. 191
E_form = -9.3 meV/atom
M_tot = 0.00 μB/f.u.

Cell lengths 5.8012, 5.8012, 5.0867 Å; angles 90.00, 90.00, 120.00 degrees
With the nearest neighbours (Å) after each atom.
Positions (direct):
Al: 0.6667 0.3333 0.5000  6 Sc 3.05, 3 Al 3.35
Al: 0.0000 0.0000 0.2441  2 Al 2.48-2.60
Al: 0.0000 0.0000 0.7559  2 Al 2.48-2.60
Al: 0.3333 0.6667 0.5000  6 Sc 3.05, 3 Al 3.35
Sc: 0.5000 0.5000 0.0000  4 Sc 2.90, 8 Al 3.05-3.16
Sc: 0.5000 0.0000 0.0000  4 Sc 2.90, 8 Al 3.05-3.16
Sc: 0.0000 0.5000 0.0000  4 Sc 2.90, 8 Al 3.05-3.16

No. 6
Below is crystalline ScAl3 at its relaxed geometry, with properties calculated at the GGA-PBE level.

Calculated values
Symmetry = P-6m2, No. 187
E_form = -72.7 meV/atom
M_tot = 0.00 μB/f.u.

Cell lengths 3.0490, 3.0490, 9.1804 Å; angles 90.00, 90.00, 120.00 degrees
With the nearest neighbours (Å) after each atom.
Positions (direct):
Al: 0.6667 0.3333 0.2500  12 Al 2.81-3.05
Al: 0.0000 0.0000 0.0115  9 Al 2.81-3.05, 3 Sc 2.98
Al: 0.0000 0.0000 0.4885  9 Al 2.81-3.05, 3 Sc 2.98
Sc: 0.6667 0.3333 0.7500  6 Al 2.98, 6 Sc 3.05